SbWI2O | GGA+U | optimized geometry

## Properties
M_tot: 0.9834 μB per atom
Relative energy among the computed polymorphs: 0.4588 eV per atom
N(E_F): 0.70 states/eV/cell

a = 6.2235 Å, b = 6.2235 Å, c = 4.1268 Å
α = 90.00°, β = 90.00°, γ = 90.00°
Atoms (fractional coordinates):
Sb: 0.0000 0.0000 0.0000
W: 0.5000 0.5000 0.5000
I: 0.0000 0.5000 0.0000
I: 0.5000 0.0000 0.0000
O: 0.0000 0.0000 0.5000